Li5Nb2Fe5O12: optimized geometry, PBE with a Hubbard U.

As for the space-group type: No. 1. Its raw total energy is -162.855 eV for the cell shown. Its size of the total moment is 18.9 μB per formula unit. As for the crystal system: triclinic.

Unit cell a=5.205 b=5.310 c=10.235 alpha=84.43 beta=77.93 gamma=60.99
Atoms (fractional coordinates):
Li (0.673, 0.148, 0.501)
Li (0.835, 0.852, 0.998)
Li (0.168, 0.154, 0.999)
Li (0.334, 0.843, 0.509)
Li (0.920, 0.160, 0.748)
Nb (0.238, 0.506, 0.749)
Nb (0.733, 0.518, 0.249)
Fe (0.083, 0.825, 0.250)
Fe (0.507, 0.489, 0.993)
Fe (0.997, 0.497, 0.503)
Fe (0.431, 0.161, 0.251)
Fe (0.584, 0.839, 0.753)
O (0.204, 0.810, 0.868)
O (0.987, 0.815, 0.631)
O (0.370, 0.504, 0.379)
O (0.129, 0.506, 0.128)
O (0.518, 0.182, 0.863)
O (0.292, 0.190, 0.633)
O (0.696, 0.824, 0.379)
O (0.490, 0.811, 0.125)
O (0.885, 0.497, 0.871)
O (0.615, 0.510, 0.635)
O (0.021, 0.185, 0.359)
O (0.793, 0.176, 0.127)